Material: TbDy3Er3S8
Method: DFT, PBE
State: optimized geometry

- M_tot: 0.00 μB per formula unit
- Energy: -6.38 eV per atom
- D(E_F): 0.400 states/eV per atom
- Space-group type: No. 166
- Calculated density: 7059 kg/m3
- E_form (uncorrected): -2.040 eV/atom

Cell: 7.764 7.764 7.764 Å, 59.94 59.94 59.94°
Sites, in units of the cell vectors:
1 Tb 0.000 0.000 0.000
2 Dy 0.000 0.000 0.500
3 Dy 0.000 0.500 0.000
4 Dy 0.500 0.000 0.000
5 Er 0.000 0.500 0.500
6 Er 0.500 0.000 0.500
7 Er 0.500 0.500 0.000
8 S 0.251 0.251 0.251
9 S 0.253 0.253 0.745
10 S 0.253 0.745 0.253
11 S 0.255 0.747 0.747
12 S 0.745 0.253 0.253
13 S 0.747 0.255 0.747
14 S 0.747 0.747 0.255
15 S 0.749 0.749 0.749